No. 1
Computed, not measured: a relaxed Tb3Ce2YBi6 crystal at the PBE level of DFT.

Summary:
crystal system	monoclinic
calculated formation energy	-19.70	kcal/mol of atoms

Unit cell a=10.1195 b=10.1195 c=9.0536 alpha=102.91 beta=102.91 gamma=25.89
Positions (direct):
Tb: 0.0000 0.0000 0.0000
Tb: 0.3329 0.3329 0.6659
Tb: 0.6671 0.6671 0.3341
Ce: 0.3344 0.3344 0.1682
Ce: 0.6656 0.6656 0.8318
Y: 0.0000 0.0000 0.5000
Bi: 0.1657 0.1657 0.0863
Bi: 0.1662 0.1662 0.5792
Bi: 0.4983 0.4983 0.7489
Bi: 0.5017 0.5017 0.2511
Bi: 0.8338 0.8338 0.4208
Bi: 0.8343 0.8343 0.9137

No. 2
Computed, not measured: a relaxed MgMn2CoN crystal at the PBE level of DFT.

Summary:
uncorrected formation energy	-0.15	eV/atom
crystal system	tetragonal

Unit cell a=3.8175 b=3.8175 c=3.8835 alpha=90.00 beta=90.00 gamma=90.00
Positions (direct):
Mg: 0.0000 0.0000 0.0000
Mn: 0.0000 0.5000 0.5000
Mn: 0.5000 0.0000 0.5000
Co: 0.5000 0.5000 0.0000
N: 0.5000 0.5000 0.5000

No. 3
Computed, not measured: a relaxed KAsAu3 crystal at the PBE level of DFT.

Summary:
crystal system	cubic
calculated formation energy	33.20	kcal/mol of atoms
relative energy among the computed polymorphs	1.639	eV/atom

Unit cell a=5.4281 b=5.4281 c=5.4281 alpha=90.00 beta=90.00 gamma=90.00
Positions (direct):
K: 0.0000 0.0000 0.0000
As: 0.5000 0.5000 0.5000
Au: 0.0000 0.0000 0.5000
Au: 0.0000 0.5000 0.0000
Au: 0.5000 0.0000 0.0000

No. 4
Computed, not measured: a relaxed BaCaCr crystal at the PBE level of DFT.

Summary:
crystal system	trigonal
calculated formation energy	12.88	kcal/mol of atoms
relative energy among the computed polymorphs	0.238	eV/atom

Unit cell a=7.9383 b=7.9383 c=7.9383 alpha=42.51 beta=42.51 gamma=42.51
Positions (direct):
Ba: 0.1971 0.1971 0.1971
Ba: 0.8029 0.8029 0.8029
Ca: 0.3717 0.3717 0.3717
Ca: 0.6283 0.6283 0.6283
Cr: 0.0408 0.0408 0.0408
Cr: 0.9592 0.9592 0.9592

| no. | V (A^3/atom) | total magnetic moment (μB/f.u.) | DFT total energy (eV/atom) |
| --- | --- | --- | --- |
| 1 | 32.838 | 1.6 | -5.48 |
| 2 | 11.319 | 4.3 | -7.22 |
| 3 | 31.987 | 0.8 | -1.68 |
| 4 | 34.470 | 0.0 | -3.96 |